No. 1
A plane-wave DFT calculation with PBE was carried out for LaTbLuTl after structural relaxation.

Cell: 5.547 5.547 5.547 Å, 60.00 60.00 60.00°
Fractional positions:
Lu 0.500 0.500 0.500
Tb 0.250 0.250 0.250
Tl 0.000 0.000 0.000
La 0.750 0.750 0.750

As for the formation energy: -0.3 eV/f.u. As for the space group: F-43m (216).

No. 2
A plane-wave DFT calculation with PBE was carried out for LaTbLuZn after structural relaxation.

Cell: 5.406 5.406 5.406 Å, 60.00 60.00 60.00°
Fractional positions:
Zn 0.000 0.000 0.000
La 0.750 0.750 0.750
Tb 0.250 0.250 0.250
Lu 0.500 0.500 0.500

As for the formation energy: 0.0 eV/f.u. As for the space group: F-43m (216).

No. 3
A plane-wave DFT calculation with PBE was carried out for LaTbLuZr after structural relaxation.

Cell: 5.516 5.516 5.516 Å, 60.00 60.00 60.00°
Fractional positions:
Zr 0.000 0.000 0.000
Lu 0.500 0.500 0.500
Tb 0.750 0.750 0.750
La 0.250 0.250 0.250

As for the formation energy: 0.8 eV/f.u. As for the space group: F-43m (216).

No. 4
A plane-wave DFT calculation with PBE was carried out for LaLuTc after structural relaxation.

Cell: 3.479 3.479 6.906 Å, 104.59 104.59 90.00°
Fractional positions:
Tc 0.661 0.661 0.322
La 0.298 0.298 0.595
Lu 0.041 0.041 0.082

As for the formation energy: 0.0 eV/f.u. As for the space group: I4mm (107).

No. 5
A plane-wave DFT calculation with PBE was carried out for LaLu2Tc after structural relaxation.

Cell: 3.410 3.410 9.167 Å, 90.00 90.00 90.00°
Fractional positions:
Lu 0.000 0.000 0.824
Lu 0.000 0.000 0.176
La 0.500 0.500 0.500
Tc 0.500 0.500 0.000

As for the formation energy: -0.2 eV/f.u. As for the space group: P4/mmm (123).

No. 6
A plane-wave DFT calculation with PBE was carried out for La2LuTe after structural relaxation.

Cell: 4.108 4.108 7.702 Å, 90.00 90.00 90.00°
Fractional positions:
La 0.000 0.000 0.730
La 0.000 0.000 0.270
Te 0.500 0.500 0.500
Lu 0.500 0.500 0.000

As for the space group: P4/mmm (123). The uncorrected formation energy comes out at -603 meV/atom.